[1]
{
  "formula": "Ho4ZnIr",
  "functional": "PBE-GGA",
  "state": "optimized geometry",
  "lattice_angstrom": [[-5.868, -6.927, -2.627], [3.481, -8.266, -2.978], [-0.904, -7.720, 5.376]],
  "species": ["Ho", "Ho", "Ho", "Ho", "Ho", "Ho", "Ho", "Ho", "Ho", "Ho", "Ho", "Ho", "Ho", "Ho", "Ho", "Ho", "Zn", "Zn", "Zn", "Zn", "Ir", "Ir", "Ir", "Ir"],
  "frac_coords": [[0.396, 0.396, 0.396], [0.811, 0.396, 0.396], [0.396, 0.811, 0.396], [0.396, 0.396, 0.811], [0.558, 0.558, 0.942], [0.942, 0.942, 0.558], [0.558, 0.942, 0.558], [0.942, 0.558, 0.942], [0.942, 0.558, 0.558], [0.558, 0.942, 0.942], [0.187, 0.187, 0.813], [0.813, 0.813, 0.187], [0.187, 0.813, 0.187], [0.813, 0.187, 0.813], [0.813, 0.187, 0.187], [0.187, 0.813, 0.813], [0.171, 0.171, 0.171], [0.486, 0.171, 0.171], [0.171, 0.486, 0.171], [0.171, 0.171, 0.486], [0.607, 0.607, 0.607], [0.179, 0.607, 0.607], [0.607, 0.179, 0.607], [0.607, 0.607, 0.179]],
  "ef_ev_per_fu": -3.04,
  "energy_ev_per_atom": -5.247,
  "de_polymorph_mev_per_atom": 0,
  "volume_a3_per_cell": 597,
  "n_ef_per_ev_cell": 12.71,
  "density_g_cm3": 10.21
}



[2]
{
  "formula": "Ho4ZnIr",
  "functional": "PBE-GGA",
  "state": "optimized geometry",
  "lattice_angstrom": [[4.851, 0.000, -0.001], [0.000, 4.852, 0.000], [0.004, 0.008, 6.882]],
  "species": ["Ho", "Ho", "Ho", "Ho", "Zn", "Ir"],
  "frac_coords": [[0.501, 0.997, 0.260], [0.501, 0.998, 0.737], [0.001, 0.498, 0.737], [0.001, 0.497, 0.260], [0.501, 0.497, 0.998], [0.001, 0.997, 0.498]],
  "ef_ev_per_fu": -2.07,
  "energy_ev_per_atom": -5.086,
  "de_polymorph_mev_per_atom": 161,
  "volume_a3_per_cell": 162,
  "n_ef_per_ev_cell": 8.34,
  "density_g_cm3": 9.40
}



[3]
{
  "formula": "Ho2ZnIr3",
  "functional": "PBE-GGA",
  "state": "optimized geometry",
  "lattice_angstrom": [[-3.541, 0.726, -4.147], [3.077, -4.555, 0.224], [-5.871, -3.752, 4.355]],
  "species": ["Ho", "Ho", "Ho", "Ho", "Zn", "Zn", "Ir", "Ir", "Ir", "Ir", "Ir", "Ir"],
  "frac_coords": [[0.667, 0.333, 0.438], [0.333, 0.667, 0.562], [0.333, 0.667, 0.938], [0.667, 0.333, 0.062], [0.000, 0.000, 0.500], [0.000, 0.000, 0.000], [0.169, 0.338, 0.250], [0.338, 0.169, 0.750], [0.831, 0.662, 0.750], [0.169, 0.831, 0.250], [0.831, 0.169, 0.750], [0.662, 0.831, 0.250]],
  "ef_ev_per_fu": -4.38,
  "energy_ev_per_atom": -6.898,
  "volume_a3_per_cell": 215,
  "n_ef_per_ev_cell": 9.87,
  "density_g_cm3": 14.99
}